(1)
Entry from the Alexandria database: crystalline GaAg12Au2 at its relaxed geometry (PBE).

a = 5.4273 Å, b = 5.4273 Å, c = 20.1447 Å
α = 90.00°, β = 90.00°, γ = 90.00°
Closest atoms and distances in Å follow each position.
Fractional positions:
1 Ga 0.2500 0.7500 0.0000  8 Ag 2.72
2 Ga 0.7500 0.2500 0.0000  8 Ag 2.72
3 Ag 0.9998 0.0002 0.0960  6 Ag 2.71-2.87, 2 Ga 2.72
4 Ag 0.0002 0.9998 0.9040  6 Ag 2.71-2.87, 2 Ga 2.72
5 Ag 0.0002 0.5002 0.0960  6 Ag 2.71-2.87, 2 Ga 2.72
6 Ag 0.9998 0.4998 0.9040  6 Ag 2.71-2.87, 2 Ga 2.72
7 Ag 0.0711 0.5711 0.4359  8 Ag 2.75-2.86
8 Ag 0.0711 0.9289 0.5641  8 Ag 2.75-2.86
9 Ag 0.2500 0.2500 0.2020  5 Ag 2.67-2.87
10 Ag 0.2500 0.2500 0.3345  5 Ag 2.67-2.86
11 Ag 0.2500 0.2500 0.6655  5 Ag 2.67-2.86
12 Ag 0.2500 0.2500 0.7980  5 Ag 2.67-2.87
13 Ag 0.4289 0.5711 0.5641  8 Ag 2.75-2.86
14 Ag 0.4289 0.9289 0.4359  8 Ag 2.75-2.86
15 Ag 0.4998 0.9998 0.0960  6 Ag 2.71-2.87, 2 Ga 2.72
16 Ag 0.5002 0.0002 0.9040  6 Ag 2.71-2.87, 2 Ga 2.72
17 Ag 0.5002 0.4998 0.0960  6 Ag 2.71-2.87, 2 Ga 2.72
18 Ag 0.4998 0.5002 0.9040  6 Ag 2.71-2.87, 2 Ga 2.72
19 Ag 0.5711 0.0711 0.5641  8 Ag 2.75-2.86
20 Ag 0.5711 0.4289 0.4359  8 Ag 2.75-2.86
21 Ag 0.7500 0.7500 0.2020  5 Ag 2.67-2.87
22 Ag 0.7500 0.7500 0.3345  5 Ag 2.67-2.86
23 Ag 0.7500 0.7500 0.6655  5 Ag 2.67-2.86
24 Ag 0.7500 0.7500 0.7980  5 Ag 2.67-2.87
25 Ag 0.9289 0.0711 0.4359  8 Ag 2.75-2.86
26 Ag 0.9289 0.4289 0.5641  8 Ag 2.75-2.86
27 Au 0.2500 0.7500 0.2682  8 Ag 3.02
28 Au 0.2500 0.7500 0.7318  8 Ag 3.02
29 Au 0.7500 0.2500 0.2682  8 Ag 3.02
30 Au 0.7500 0.2500 0.7318  8 Ag 3.02

Computed properties:
formation energy from the elements	0.1978	eV/atom
total DFT energy (no corrections)	-40.83	eV/f.u.
D(E_F)	0.2288	states/eV/atom
symmetry	P4/nbm, No. 125
crystal system	tetragonal
total moment	0.0	μB/f.u.



(2)
Entry from the Alexandria database: crystalline Ga3Ag4Au at its relaxed geometry (PBE).

a = 8.7638 Å, b = 8.7638 Å, c = 4.1289 Å
α = 103.43°, β = 103.43°, γ = 27.24°
Closest atoms and distances in Å follow each position.
Fractional positions:
1 Ga 0.0000 0.0000 0.0000  4 Au 2.92, 8 Ag 2.95-2.96
2 Ga 0.2506 0.2506 0.2508  8 Ag 2.88-2.90, 4 Ga 2.92
3 Ga 0.7494 0.7494 0.7492  8 Ag 2.88-2.90, 4 Ga 2.92
4 Ag 0.1278 0.1278 0.6279  6 Ga 2.88-2.96, 4 Ag 2.92, 2 Au 2.95
5 Ag 0.3722 0.3722 0.8724  6 Ga 2.88-2.95, 4 Ag 2.92, 2 Au 2.95-2.96
6 Ag 0.6278 0.6278 0.1276  6 Ga 2.88-2.95, 4 Ag 2.92, 2 Au 2.95-2.96
7 Ag 0.8722 0.8722 0.3721  6 Ga 2.88-2.96, 4 Ag 2.92, 2 Au 2.95
8 Au 0.5000 0.5000 0.5000  4 Ga 2.92, 8 Ag 2.95-2.96

Computed properties:
formation energy from the elements	-0.0096	eV/atom
total DFT energy (no corrections)	-23.84	eV/f.u.
D(E_F)	0.3566	states/eV/atom
symmetry	C2/m, No. 12
crystal system	monoclinic
total moment	0.0	μB/f.u.



(3)
Entry from the Alexandria database: crystalline GaAg6Au5 at its relaxed geometry (PBE).

a = 6.5788 Å, b = 6.5788 Å, c = 5.0471 Å
α = 97.79°, β = 97.79°, γ = 84.22°
Closest atoms and distances in Å follow each position.
Fractional positions:
1 Ga 0.0000 0.0000 0.0000  6 Au 2.91, 6 Ag 2.92-2.93
2 Ag 0.0839 0.4141 0.2520  6 Ag 2.89-2.96, 5 Au 2.92-2.96, 1 Ga 2.92
3 Ag 0.2504 0.2504 0.7578  6 Ag 2.89-2.96, 1 Ga 2.93, 5 Au 2.93-2.96
4 Ag 0.4141 0.0839 0.2520  6 Ag 2.89-2.96, 5 Au 2.92-2.96, 1 Ga 2.92
5 Ag 0.5859 0.9161 0.7480  6 Ag 2.89-2.96, 5 Au 2.92-2.96, 1 Ga 2.92
6 Ag 0.7496 0.7496 0.2422  6 Ag 2.89-2.96, 1 Ga 2.93, 5 Au 2.93-2.96
7 Ag 0.9161 0.5859 0.7480  6 Ag 2.89-2.96, 5 Au 2.92-2.96, 1 Ga 2.92
8 Au 0.1643 0.8357 0.5000  4 Au 2.90-2.96, 2 Ga 2.91, 6 Ag 2.93-2.95
9 Au 0.3301 0.6699 0.0000  1 Ga 2.91, 5 Au 2.92-3.00, 6 Ag 2.92-2.96
10 Au 0.5000 0.5000 0.5000  6 Ag 2.93-2.96, 6 Au 2.93-2.96
11 Au 0.6699 0.3301 0.0000  1 Ga 2.91, 5 Au 2.92-3.00, 6 Ag 2.92-2.96
12 Au 0.8357 0.1643 0.5000  4 Au 2.90-2.96, 2 Ga 2.91, 6 Ag 2.93-2.95

Computed properties:
offset from the most stable computed form	11	meV per atom
formation energy from the elements	-0.0353	eV/atom
total DFT energy (no corrections)	-36.95	eV/f.u.
D(E_F)	0.3265	states/eV/atom
symmetry	C2/m, No. 12
crystal system	monoclinic
total moment	0.0	μB/f.u.



(4)
Entry from the Alexandria database: crystalline GaAg4Au2 at its relaxed geometry (PBE).

a = 5.1051 Å, b = 6.5386 Å, c = 7.7106 Å
α = 90.53°, β = 90.25°, γ = 105.04°
Closest atoms and distances in Å follow each position.
Fractional positions:
1 Ga 0.1321 0.4173 0.1480  3 Au 2.83-2.88, 8 Ag 2.88-2.99, 1 Ga 3.00
2 Ga 0.8679 0.5827 0.8520  3 Au 2.83-2.88, 8 Ag 2.88-2.99, 1 Ga 3.00
3 Ag 0.2852 0.8525 0.2860  6 Ag 2.89-2.99, 5 Au 2.92-2.95, 1 Ga 2.94
4 Ag 0.2855 0.3595 0.7890  6 Ag 2.87-2.95, 3 Ga 2.92-2.99, 3 Au 2.93-2.94
5 Ag 0.4276 0.7814 0.9316  6 Ag 2.87-2.99, 3 Ga 2.88-2.99, 3 Au 2.94-2.95
6 Ag 0.4286 0.2846 0.4274  1 Ga 2.89, 6 Ag 2.92-2.95, 5 Au 2.93-2.96
7 Ag 0.5714 0.7154 0.5726  1 Ga 2.89, 6 Ag 2.92-2.95, 5 Au 2.93-2.96
8 Ag 0.5724 0.2186 0.0684  6 Ag 2.87-2.99, 3 Ga 2.88-2.99, 3 Au 2.94-2.95
9 Ag 0.7145 0.6405 0.2110  6 Ag 2.87-2.95, 3 Ga 2.92-2.99, 3 Au 2.93-2.94
10 Ag 0.7148 0.1475 0.7140  6 Ag 2.89-2.99, 5 Au 2.92-2.95, 1 Ga 2.94
11 Au 0.0000 0.0000 0.0000  2 Ga 2.86, 2 Au 2.90, 8 Ag 2.93-2.95
12 Au 0.0000 0.5000 0.5000  2 Ga 2.88, 2 Au 2.91, 8 Ag 2.92-2.95
13 Au 0.1413 0.9268 0.6458  1 Ga 2.83, 3 Au 2.90-2.96, 8 Ag 2.93-2.96
14 Au 0.8587 0.0732 0.3542  1 Ga 2.83, 3 Au 2.90-2.96, 8 Ag 2.93-2.96

Computed properties:
offset from the most stable computed form	0	meV per atom
formation energy from the elements	-0.0424	eV/atom
total DFT energy (no corrections)	-21.28	eV/f.u.
D(E_F)	0.2900	states/eV/atom
symmetry	P-1, No. 2
crystal system	triclinic
total moment	0.0	μB/f.u.